Entry from Alexandria: a relaxed NdH2 crystal (GGA-PBEsol).

Unit cell a=3.8256 b=3.8256 c=3.8256 alpha=60.00 beta=60.00 gamma=60.00
Closest atoms and distances in Å follow each position.
Atoms (fractional coordinates):
H: 0.7500 0.7500 0.7500  4 Nd 2.34
H: 0.2500 0.2500 0.2500  4 Nd 2.34
Nd: 0.0000 0.0000 0.0000  8 H 2.34

Computed properties:
The value obtained for the density of states at the Fermi level is 0.256 states/eV per atom. As for the magnetization: 0.0 μB/cell. Its space-group type is Fm-3m.

---

Entry from Alexandria: a relaxed Ba3Sb crystal (GGA-PBEsol).

Unit cell a=7.5093 b=9.2419 c=10.7039 alpha=90.00 beta=90.00 gamma=90.00
Closest atoms and distances in Å follow each position.
Atoms (fractional coordinates):
Ba: 0.6518 0.1785 0.9437  3 Sb 3.51-3.69
Ba: 0.6518 0.1785 0.5563  3 Sb 3.51-3.69
Ba: 0.8750 0.9700 0.2500  2 Sb 3.53-3.56
Ba: 0.3750 0.5300 0.7500  2 Sb 3.53-3.56
Ba: 0.1518 0.3215 0.4437  3 Sb 3.51-3.69
Ba: 0.3482 0.8215 0.4437  3 Sb 3.51-3.69
Ba: 0.8482 0.6785 0.5563  3 Sb 3.51-3.69
Ba: 0.1250 0.0300 0.7500  2 Sb 3.53-3.56
Ba: 0.3482 0.8215 0.0563  3 Sb 3.51-3.69
Ba: 0.1518 0.3215 0.0563  3 Sb 3.51-3.69
Ba: 0.8482 0.6785 0.9437  3 Sb 3.51-3.69
Ba: 0.6250 0.4700 0.2500  2 Sb 3.53-3.56
Sb: 0.4382 0.1193 0.2500  8 Ba 3.51-3.69
Sb: 0.5618 0.8807 0.7500  8 Ba 3.51-3.69
Sb: 0.9382 0.3807 0.7500  8 Ba 3.51-3.69
Sb: 0.0618 0.6193 0.2500  8 Ba 3.51-3.69

Computed properties:
The value obtained for the density of states at the Fermi level is 1.010 states/eV per atom. As for the magnetization: 4.0 μB/cell. The formation energy (no corrections) is -234 kJ/mol of formula units. Its space-group type is Pnma.

---

Entry from Alexandria: a relaxed PmBi3 crystal (GGA-PBEsol).

Unit cell a=5.9525 b=6.7841 c=6.7841 alpha=120.00 beta=90.00 gamma=90.00
Closest atoms and distances in Å follow each position.
Atoms (fractional coordinates):
Bi: 0.2500 0.1722 0.3443  8 Bi 3.28-3.60, 4 Pm 3.39-3.53
Bi: 0.7500 0.8278 0.1722  8 Bi 3.28-3.60, 4 Pm 3.39-3.53
Bi: 0.2500 0.6557 0.8278  8 Bi 3.28-3.60, 4 Pm 3.39-3.53
Bi: 0.7500 0.8278 0.6557  8 Bi 3.28-3.60, 4 Pm 3.39-3.53
Bi: 0.2500 0.1722 0.8278  8 Bi 3.28-3.60, 4 Pm 3.39-3.53
Bi: 0.7500 0.3443 0.1722  8 Bi 3.28-3.60, 4 Pm 3.39-3.53
Pm: 0.7500 0.3333 0.6667  12 Bi 3.39-3.53
Pm: 0.2500 0.6667 0.3333  12 Bi 3.39-3.53

Computed properties:
Its formation energy is -466 meV/atom. The value obtained for the density of states at the Fermi level is 0.454 states/eV per atom. As for the magnetization: 0.0 μB/cell. Its space-group type is P6_3/mmc.

---

Entry from Alexandria: a relaxed Be5Cu3 crystal (GGA-PBEsol).

Unit cell a=2.6448 b=2.6448 c=10.3109 alpha=90.00 beta=90.00 gamma=90.00
Closest atoms and distances in Å follow each position.
Atoms (fractional coordinates):
Cu: 0.5000 0.5000 0.8681  9 Be 2.28-2.50
Cu: 0.5000 0.5000 0.1319  9 Be 2.28-2.50
Cu: 0.0000 0.0000 0.5000  10 Be 2.28-2.50
Be: 0.0000 0.0000 0.0000  8 Cu 2.31
Be: 0.0000 0.0000 0.7420  4 Be 2.22, 4 Cu 2.28
Be: 0.0000 0.0000 0.2580  4 Be 2.22, 4 Cu 2.28
Be: 0.5000 0.5000 0.3741  4 Be 2.22, 4 Cu 2.28
Be: 0.5000 0.5000 0.6259  4 Be 2.22, 4 Cu 2.28

Computed properties:
Its formation energy is -92 meV/atom. The value obtained for the density of states at the Fermi level is 0.219 states/eV per atom. As for the magnetization: 0.0 μB/cell. Its space-group type is P4/mmm.

---

Entry from Alexandria: a relaxed Al5Si crystal (GGA-PBEsol).

Unit cell a=2.7806 b=5.4657 c=6.7587 alpha=105.69 beta=90.00 gamma=104.74
Closest atoms and distances in Å follow each position.
Atoms (fractional coordinates):
Al: 0.6690 0.3381 0.3253  10 Al 2.78-2.97, 2 Si 2.79
Al: 0.9452 0.8904 0.3868  10 Al 2.78-2.87, 2 Si 2.79
Al: 0.6134 0.2268 0.7317  2 Si 2.77, 10 Al 2.78-2.97
Al: 0.3310 0.6620 0.6657  11 Al 2.78-2.89, 1 Si 2.85
Al: 0.9953 0.9906 0.0001  9 Al 2.78-2.84, 3 Si 2.79-2.92
Si: 0.2794 0.5588 0.0572  10 Al 2.77-2.92, 2 Si 2.78

Computed properties:
The value obtained for the density of states at the Fermi level is 0.429 states/eV per atom. As for the magnetization: 0.0 μB/cell. The formation energy (no corrections) is 45 kJ/mol of formula units. Its space-group type is Cm.

---

Entry from Alexandria: a relaxed Al3As crystal (GGA-PBEsol).

Unit cell a=4.0902 b=4.0902 c=4.0902 alpha=90.00 beta=90.00 gamma=90.00
Closest atoms and distances in Å follow each position.
Atoms (fractional coordinates):
Al: 0.5000 0.5000 0.0000  4 As 2.89, 8 Al 2.89
Al: 0.5000 0.0000 0.5000  4 As 2.89, 8 Al 2.89
Al: 0.0000 0.5000 0.5000  8 Al 2.89, 4 As 2.89
As: 0.0000 0.0000 0.0000  12 Al 2.89

Computed properties:
Its formation energy is 92 meV/atom. The value obtained for the density of states at the Fermi level is 0.474 states/eV per atom. As for the magnetization: 0.0 μB/cell. Its space-group type is Pm-3m.

---

Entry from Alexandria: a relaxed SrTl2Pb crystal (GGA-PBEsol).

Unit cell a=3.6484 b=5.6163 c=5.9897 alpha=90.00 beta=94.44 gamma=90.00
Closest atoms and distances in Å follow each position.
Atoms (fractional coordinates):
Tl: 0.7104 0.0000 0.7638  2 Pb 3.26, 5 Tl 3.32-3.65, 2 Sr 3.43
Tl: 0.2896 0.0000 0.2362  2 Pb 3.26, 5 Tl 3.32-3.65, 2 Sr 3.43
Pb: 0.5000 0.5000 0.0000  4 Tl 3.26, 4 Sr 3.38-3.63, 2 Pb 3.65
Sr: 0.0000 0.5000 0.5000  4 Pb 3.38-3.63, 4 Tl 3.43, 2 Sr 3.65

Computed properties:
Its formation energy is -240 meV/atom. The value obtained for the density of states at the Fermi level is 0.448 states/eV per atom. As for the magnetization: 0.0 μB/cell. Its space-group type is P2/m.

---

Entry from Alexandria: a relaxed BeRu2Pt crystal (GGA-PBEsol).

Unit cell a=2.6920 b=3.5818 c=5.3250 alpha=90.00 beta=90.00 gamma=90.00
Closest atoms and distances in Å follow each position.
Atoms (fractional coordinates):
Pt: 0.5000 0.5000 0.7201  4 Be 2.50, 6 Ru 2.55-2.78, 2 Pt 2.69
Be: 0.0000 0.0000 0.5101  4 Pt 2.50, 6 Ru 2.56-2.76, 2 Be 2.69
Ru: 0.5000 0.5000 0.2409  6 Ru 2.51-2.69, 2 Pt 2.55-2.77, 4 Be 2.66
Ru: 0.0000 0.0000 0.0288  6 Ru 2.51-2.69, 2 Be 2.56-2.76, 4 Pt 2.78

Computed properties:
Its formation energy is -92 meV/atom. The value obtained for the density of states at the Fermi level is 0.758 states/eV per atom. As for the magnetization: 0.0 μB/cell. Its space-group type is Pmm2.

---

Entry from Alexandria: a relaxed La2YCd crystal (GGA-PBEsol).

Unit cell a=3.8115 b=5.3221 c=6.8480 alpha=112.87 beta=106.16 gamma=90.00
Closest atoms and distances in Å follow each position.
Atoms (fractional coordinates):
La: 0.7177 0.7177 0.4354  2 Cd 3.24, 4 La 3.36
La: 0.2823 0.2823 0.5646  2 Cd 3.24, 4 La 3.36
Cd: 0.0000 0.5000 0.0000  4 La 3.24, 4 Y 3.27
Y: 0.5000 0.0000 0.0000  4 Cd 3.27

Computed properties:
Its formation energy is -115 meV/atom. The value obtained for the density of states at the Fermi level is 1.187 states/eV per atom. As for the magnetization: 0.0 μB/cell. Its space-group type is Immm.

---

Entry from Alexandria: a relaxed LiNiP3O9 crystal (GGA-PBEsol).

Unit cell a=9.2516 b=9.3163 c=9.5559 alpha=108.92 beta=105.40 gamma=109.86
Closest atoms and distances in Å follow each position.
Atoms (fractional coordinates):
O: 0.5157 0.1682 0.5510  1 P 1.58
O: 0.6903 0.6755 0.5817  1 P 1.50
O: 0.0683 0.7412 0.0130  1 P 1.46
O: 0.7466 0.8674 0.9048  1 P 1.50
O: 0.2459 0.5249 0.2643  1 P 1.46
O: 0.3685 0.8351 0.9476  1 P 1.46
O: 0.4795 0.9737 0.7384  1 P 1.55
O: 0.3614 0.1524 0.8765  2 P 1.58-1.63
O: 0.1515 0.7682 0.5109  1 P 1.52
O: 0.4520 0.3959 0.7148  2 P 1.59-1.63
O: 0.5205 0.0263 0.2616  1 P 1.55
O: 0.4843 0.8318 0.4490  1 P 1.58
O: 0.2089 0.9516 0.3173  1 P 1.55
O: 0.8996 0.1177 0.2029  1 P 1.48
O: 0.8922 0.8354 0.1498  2 P 1.58-1.60
O: 0.0150 0.3561 0.7906  2 P 1.59-1.60
O: 0.3747 0.7026 0.1393  2 P 1.58-1.61
O: 0.1004 0.8823 0.7971  1 P 1.48
O: 0.9850 0.6439 0.2094  2 P 1.59-1.60
O: 0.8371 0.6543 0.3945  2 P 1.60
O: 0.6386 0.8476 0.1235  2 P 1.58-1.63
O: 0.1078 0.1646 0.8502  2 P 1.58-1.60
O: 0.9317 0.2588 0.9870  1 P 1.46
O: 0.5480 0.6041 0.2852  2 P 1.59-1.63
O: 0.3097 0.3245 0.4183  1 P 1.50
O: 0.7541 0.4751 0.7357  1 P 1.46
O: 0.0447 0.5567 0.6680  1 P 1.48
O: 0.3934 0.6219 0.6467  1 P 1.50
O: 0.1629 0.3457 0.6055  2 P 1.60
O: 0.2534 0.1326 0.0952  1 P 1.50
O: 0.6066 0.3781 0.3533  1 P 1.50
O: 0.8485 0.2318 0.4891  1 P 1.52
O: 0.6315 0.1649 0.0524  1 P 1.46
O: 0.7911 0.0484 0.6827  1 P 1.55
O: 0.9553 0.4433 0.3320  1 P 1.48
O: 0.6253 0.2974 0.8607  2 P 1.58-1.61
Li: 0.0517 0.3201 0.2075  4 O 1.88-1.97
Li: 0.9483 0.6799 0.7925  4 O 1.88-1.97
Li: 0.2373 0.7584 0.7250  4 O 1.88-2.09
Li: 0.7627 0.2416 0.2750  4 O 1.88-2.09
P: 0.3332 0.4323 0.5860  4 O 1.50-1.63
P: 0.5300 0.1378 0.8913  4 O 1.46-1.61
P: 0.0110 0.3791 0.6323  4 O 1.48-1.60
P: 0.0488 0.7990 0.1655  4 O 1.46-1.60
P: 0.9890 0.6209 0.3677  4 O 1.48-1.60
P: 0.2008 0.0669 0.9150  4 O 1.48-1.63
P: 0.6668 0.5677 0.4140  4 O 1.50-1.63
P: 0.4028 0.6582 0.2873  4 O 1.46-1.59
P: 0.5972 0.3418 0.7127  4 O 1.46-1.59
P: 0.4700 0.8622 0.1087  4 O 1.46-1.61
P: 0.7992 0.9331 0.0850  4 O 1.48-1.63
P: 0.9512 0.2010 0.8345  4 O 1.46-1.60
Ni: 0.6056 0.8313 0.6853  5 O 1.99-2.18
Ni: 0.3944 0.1687 0.3147  5 O 1.99-2.18
Ni: 0.3377 0.9402 0.5127  5 O 1.90-2.06
Ni: 0.6623 0.0598 0.4873  5 O 1.90-2.06

Computed properties:
As for the magnetization: 8.1 μB/cell. The formation energy (no corrections) is -2629 kJ/mol of formula units. Its space-group type is P-1.

---

Entry from Alexandria: a relaxed FeSiSb2I crystal (GGA-PBEsol).

Unit cell a=5.1563 b=5.1563 c=5.2450 alpha=90.00 beta=90.00 gamma=90.00
Closest atoms and distances in Å follow each position.
Atoms (fractional coordinates):
Sb: 0.5000 0.0000 0.0000  2 Si 2.58
Sb: 0.0000 0.5000 0.0000  2 Si 2.58
Fe: 0.5000 0.5000 0.5000  4 I 3.65, 8 Sb 3.68
Si: 0.0000 0.0000 0.0000  4 Sb 2.58, 2 I 2.62
I: 0.0000 0.0000 0.5000  2 Si 2.62

Computed properties:
The value obtained for the density of states at the Fermi level is 1.424 states/eV per atom. As for the magnetization: 3.4 μB/cell. The formation energy (no corrections) is 548 kJ/mol of formula units. Its space-group type is P4/mmm.

---

Number 1: calculated total energy -4.58 eV per atom. Number 2: calculated total energy -3.36 eV per atom. Number 3: calculated total energy -4.96 eV per atom. Number 4: calculated total energy -4.22 eV per atom. Number 5: calculated total energy -4.29 eV per atom. Number 6: calculated total energy -4.25 eV per atom. Number 7: calculated total energy -3.02 eV per atom. Number 8: calculated total energy -7.92 eV per atom. Number 9: calculated total energy -4.79 eV per atom. Number 10: calculated total energy -7.14 eV per atom. Number 11: calculated total energy -3.98 eV per atom.